The following is a GGA-PBE calculation of crystalline Ba3NpBe2O8 at its relaxed geometry, from Alexandria via LeMat-Bulk.

Results
E = -0.5450 Ry per atom
Magnetic moment = 0.97 μB per cell

Cell lengths 5.6635, 5.6635, 7.5523 Å; angles 90.00, 90.00, 120.00 degrees
Last column: nearest neighbours and their distance in Å.
Positions (direct):
O (0.3333, 0.6667, 0.0448)  1 Be 1.52
Be (0.3333, 0.6667, 0.2465)  1 O 1.52
O (0.8285, 0.6571, 0.6630)  1 Be 1.73
Ba (0.0000, 0.0000, 0.0000)  12 O 3.05-3.29
O (0.1715, 0.3429, 0.3370)  1 Be 1.73
Np (0.0000, 0.0000, 0.5000)  6 O 2.08
O (0.1715, 0.8285, 0.3370)  1 Be 1.73
Be (0.6667, 0.3333, 0.7535)  1 O 1.52
O (0.3429, 0.1715, 0.6630)  1 Be 1.73
O (0.6667, 0.3333, 0.9552)  1 Be 1.52
O (0.8285, 0.1715, 0.6630)  1 Be 1.73
Ba (0.6667, 0.3333, 0.2791)  1 O 2.45
Ba (0.3333, 0.6667, 0.7209)  1 O 2.45
O (0.6571, 0.8285, 0.3370)  1 Be 1.73

The following is a GGA-PBE calculation of crystalline Np at its relaxed geometry, from Alexandria via LeMat-Bulk.

Results
Relative energy among the computed polymorphs = 0 meV/atom
Magnetic moment = 0.00 μB per cell

Cell lengths 4.6605, 4.7902, 6.5772 Å; angles 90.00, 90.00, 90.00 degrees
Last column: nearest neighbours and their distance in Å.
Positions (direct):
Np (0.7500, 0.1409, 0.6822)  4 Np 2.49-2.59
Np (0.2500, 0.8591, 0.3178)  4 Np 2.49-2.59
Np (0.7500, 0.7176, 0.4555)  4 Np 2.49-2.59
Np (0.2500, 0.2824, 0.5445)  4 Np 2.49-2.59
Np (0.7500, 0.3591, 0.1822)  4 Np 2.49-2.59
Np (0.2500, 0.6409, 0.8178)  4 Np 2.49-2.59
Np (0.7500, 0.7824, 0.9555)  4 Np 2.49-2.59
Np (0.2500, 0.2176, 0.0445)  4 Np 2.49-2.59

The following is a GGA-PBE calculation of crystalline InBrClF at its relaxed geometry, from Alexandria via LeMat-Bulk.

Results
E = -0.2455 Ry per atom
Magnetic moment = 0.00 μB per cell

Cell lengths 3.5208, 5.0368, 7.4593 Å; angles 69.63, 76.35, 69.54 degrees
Last column: nearest neighbours and their distance in Å.
Positions (direct):
Cl (0.5622, 0.6924, 0.1832)  2 In 2.56, 1 F 2.86
In (0.1187, 0.3623, 0.4002)  2 F 2.19
F (0.7555, 0.0824, 0.4067)  2 In 2.19
Br (0.9416, 0.3800, 0.7368)  1 In 2.47

The following is a GGA-PBE calculation of crystalline KBi3Sb3 at its relaxed geometry, from Alexandria via LeMat-Bulk.

Results
Relative energy among the computed polymorphs = 91 meV/atom
Magnetic moment = 0.00 μB per cell
DOS(E_F) = 5.2 states/eV/f.u.

Cell lengths 8.7310, 8.7310, 8.7310 Å; angles 90.00, 90.00, 90.00 degrees
Last column: nearest neighbours and their distance in Å.
Positions (direct):
Bi (0.7500, 0.5000, 0.0000)  4 Sb 3.09
Bi (0.2500, 0.5000, 0.0000)  4 Sb 3.09
Sb (0.5000, 0.2500, 0.0000)  4 Bi 3.09
Sb (0.5000, 0.7500, 0.0000)  4 Bi 3.09
Bi (0.0000, 0.7500, 0.5000)  4 Sb 3.09
K (0.5000, 0.5000, 0.5000)  12 Bi 4.88, 12 Sb 4.88
Sb (0.7500, 0.0000, 0.5000)  4 Bi 3.09
K (0.0000, 0.0000, 0.0000)  12 Sb 4.88, 12 Bi 4.88
Sb (0.0000, 0.5000, 0.7500)  4 Bi 3.09
Sb (0.2500, 0.0000, 0.5000)  4 Bi 3.09
Bi (0.5000, 0.0000, 0.2500)  4 Sb 3.09
Bi (0.5000, 0.0000, 0.7500)  4 Sb 3.09
Bi (0.0000, 0.2500, 0.5000)  4 Sb 3.09
Sb (0.0000, 0.5000, 0.2500)  4 Bi 3.09

The following is a GGA-PBE calculation of crystalline La12Y7Sc at its relaxed geometry, from Alexandria via LeMat-Bulk.

Results
E = -0.3941 Ry per atom
Magnetic moment = 0.00 μB per cell
DOS(E_F) = 29.7 states/eV/f.u.

Cell lengths 6.3598, 11.5250, 11.5250 Å; angles 116.70, 100.60, 100.60 degrees
Last column: nearest neighbours and their distance in Å.
Positions (direct):
Y (0.1133, 0.7571, 0.0006)  1 Sc 3.02, 1 Y 3.37
Y (0.8873, 0.0006, 0.2435)  1 Sc 3.02, 1 Y 3.37
Y (0.5000, 0.0000, 0.0000)  2 Sc 3.18, 6 Y 3.37
La (0.4284, 0.0007, 0.3553)  1 La 3.30, 4 Y 3.40-3.64
Y (0.8867, 0.2429, 0.9994)  1 Sc 3.02, 1 Y 3.37
La (0.9269, 0.3553, 0.3546)  1 La 3.30, 4 Y 3.40-3.64
La (0.5723, 0.6454, 0.0007)  1 La 3.30, 4 Y 3.40-3.64
Y (0.1127, 0.9994, 0.7565)  1 Sc 3.02, 1 Y 3.37
Y (0.6438, 0.7565, 0.7571)  1 Sc 3.02, 1 Y 3.37
La (0.0930, 0.5916, 0.1836)  3 La 3.31-3.60, 2 Y 3.42-3.43
La (0.9070, 0.4084, 0.8164)  3 La 3.31-3.60, 2 Y 3.42-3.43
La (0.4985, 0.4079, 0.5916)  3 La 3.31-3.60, 2 Y 3.42-3.43
La (0.5716, 0.9993, 0.6447)  1 La 3.30, 4 Y 3.40-3.64
La (0.9094, 0.8164, 0.4079)  3 La 3.31-3.60, 2 Y 3.42-3.43
La (0.5015, 0.5921, 0.4084)  3 La 3.31-3.60, 2 Y 3.42-3.43
Sc (0.0000, 0.0000, 0.0000)  8 Y 3.02-3.18
La (0.0731, 0.6447, 0.6454)  1 La 3.30, 4 Y 3.40-3.64
La (0.4277, 0.3546, 0.9993)  1 La 3.30, 4 Y 3.40-3.64
Y (0.3562, 0.2435, 0.2429)  1 Sc 3.02, 1 Y 3.37
La (0.0906, 0.1836, 0.5921)  3 La 3.31-3.60, 2 Y 3.42-3.43

The following is a GGA-PBE calculation of crystalline La2HoEr3 at its relaxed geometry, from Alexandria via LeMat-Bulk.

Results
Relative energy among the computed polymorphs = 0 meV/atom
Magnetic moment = 0.00 μB per cell
DOS(E_F) = 8.4 states/eV/f.u.

Cell lengths 6.2058, 10.8041, 6.2233 Å; angles 73.03, 80.40, 84.67 degrees
Last column: nearest neighbours and their distance in Å.
Positions (direct):
Er (0.6215, 0.5406, 0.2098)  5 La 3.56-3.61, 4 Er 3.56-3.60, 3 Ho 3.57-3.63
Er (0.8786, 0.9594, 0.2908)  5 La 3.55-3.60, 5 Er 3.56-3.63, 2 Ho 3.57-3.60
La (0.8749, 0.6251, 0.6251)  7 Er 3.56-3.60, 3 Ho 3.60-3.61, 2 La 3.61
Ho (0.8715, 0.2905, 0.9596)  5 La 3.56-3.61, 7 Er 3.56-3.63
Er (0.3717, 0.7906, 0.4595)  5 La 3.56-3.61, 2 Ho 3.56-3.57, 5 Er 3.56-3.63
Er (0.3785, 0.4594, 0.7902)  5 La 3.56-3.61, 4 Er 3.56-3.60, 3 Ho 3.57-3.63
Ho (0.1285, 0.7095, 0.0404)  5 La 3.56-3.61, 7 Er 3.56-3.63
La (0.1251, 0.3749, 0.3749)  7 Er 3.56-3.60, 3 Ho 3.60-3.61, 2 La 3.61
La (0.6250, 0.8754, 0.8750)  8 Er 3.55-3.61, 2 Ho 3.56-3.60, 2 La 3.60-3.61
Er (0.1214, 0.0406, 0.7092)  5 La 3.55-3.60, 5 Er 3.56-3.63, 2 Ho 3.57-3.60
Er (0.6283, 0.2094, 0.5405)  5 La 3.56-3.61, 2 Ho 3.56-3.57, 5 Er 3.56-3.63
La (0.3750, 0.1246, 0.1250)  8 Er 3.55-3.61, 2 Ho 3.56-3.60, 2 La 3.60-3.61

The following is a GGA-PBE calculation of crystalline Sc2AgAu at its relaxed geometry, from Alexandria via LeMat-Bulk.

Results
Relative energy among the computed polymorphs = 652 meV/atom
Magnetic moment = 0.00 μB per cell
DOS(E_F) = 4.1 states/eV/f.u.

Cell lengths 10.5421, 10.5421, 10.5421 Å; angles 16.77, 16.77, 16.77 degrees
Last column: nearest neighbours and their distance in Å.
Positions (direct):
Sc (0.0887, 0.0887, 0.0887)  1 Au 2.77, 3 Ag 3.01, 6 Sc 3.07
Ag (0.5000, 0.5000, 0.5000)  6 Sc 3.01, 6 Ag 3.07
Au (0.0000, 0.0000, 0.0000)  2 Sc 2.77, 6 Au 3.07
Sc (0.9113, 0.9113, 0.9113)  1 Au 2.77, 3 Ag 3.01, 6 Sc 3.07

The following is a GGA-PBE calculation of crystalline NaLi2Bi2Pb at its relaxed geometry, from Alexandria via LeMat-Bulk.

Results
E = -0.2261 Ry per atom
Magnetic moment = 0.00 μB per cell
DOS(E_F) = 2.9 states/eV/f.u.

Cell lengths 5.1731, 5.1731, 6.5602 Å; angles 90.00, 90.00, 120.00 degrees
Last column: nearest neighbours and their distance in Å.
Positions (direct):
Na (0.0000, 0.0000, 0.0000)  2 Pb 3.28, 6 Bi 3.29, 6 Li 3.56
Pb (0.0000, 0.0000, 0.5000)  6 Li 3.28, 2 Na 3.28, 6 Bi 3.54
Li (0.6667, 0.3333, 0.2940)  5 Bi 3.04-3.31, 3 Pb 3.28
Bi (0.6667, 0.3333, 0.7902)  5 Li 3.04-3.31, 3 Na 3.29
Li (0.3333, 0.6667, 0.7060)  5 Bi 3.04-3.31, 3 Pb 3.28
Bi (0.3333, 0.6667, 0.2098)  5 Li 3.04-3.31, 3 Na 3.29